# 1
Crystalline InTcB4 at its relaxed geometry. Source: OQMD via LeMat-Bulk, functional PBE.

The structure in POSCAR format:
```
InTcB4
1.0
3.062 0.000 0.000
0.000 5.240 0.000
0.000 0.000 7.310
In Tc B
2 2 8
Direct
0.000 0.000 0.000
0.500 0.500 0.500
0.000 0.000 0.500
0.500 0.500 0.000
0.000 0.336 0.248
0.000 0.336 0.752
0.000 0.664 0.248
0.000 0.664 0.752
0.500 0.164 0.252
0.500 0.164 0.748
0.500 0.836 0.252
0.500 0.836 0.748
```

## Properties
Its calculated density is 7.25 g/cm3.

---

# 2
Crystalline In2TcB at its relaxed geometry. Source: OQMD via LeMat-Bulk, functional PBE.

The structure in POSCAR format:
```
In2TcB
1.0
6.444 0.000 0.000
0.000 6.444 0.000
0.000 0.000 6.444
In Tc B
8 4 4
Direct
0.000 0.000 0.000
0.000 0.500 0.500
0.250 0.250 0.250
0.250 0.750 0.750
0.500 0.000 0.500
0.500 0.500 0.000
0.750 0.250 0.750
0.750 0.750 0.250
0.000 0.000 0.500
0.000 0.500 0.000
0.500 0.000 0.000
0.500 0.500 0.500
0.250 0.250 0.750
0.250 0.750 0.250
0.750 0.250 0.250
0.750 0.750 0.750
```

## Properties
Its calculated density is 8.40 g/cm3.

---

# 3
Crystalline InTcB at its relaxed geometry. Source: OQMD via LeMat-Bulk, functional PBE.

The structure in POSCAR format:
```
InTcB
1.0
5.566 0.000 0.000
0.000 5.566 0.000
0.000 0.000 5.566
In Tc B
4 4 4
Direct
0.000 0.000 0.000
0.000 0.500 0.500
0.500 0.000 0.500
0.500 0.500 0.000
0.000 0.000 0.500
0.000 0.500 0.000
0.500 0.000 0.000
0.500 0.500 0.500
0.250 0.250 0.250
0.250 0.750 0.750
0.750 0.250 0.750
0.750 0.750 0.250
```

## Properties
Its calculated density is 8.61 g/cm3.

---

Number 1: total DFT energy (no corrections) -6.302 eV per atom. Number 2: total DFT energy (no corrections) -4.426 eV per atom. Number 3: total DFT energy (no corrections) -6.055 eV per atom.